No. 1
Here is a geometry-optimized NdDy2TmSe6 structure from Alexandria. Energies are from PBE.

The energy relative to the elements, uncorrected is -1842 meV/atom. As for the mass density: 6.2 g/cm3.

The space group is R3 (No. 146, hexagonal axes) and the conventional cell measures 7.2524, 7.2524 and 19.4896 Å, with angles of 90.00, 90.00 and 120.00 degrees. The distinct sites, in fractional coordinates, are Nd at (0.0000, 0.0000, 0.0000), Dy at (0.0000, 0.0000, 0.2975), Dy at (0.0000, 0.0000, 0.8014), Tm at (0.0000, 0.0000, 0.4942), Se at (0.0158, 0.7105, 0.3972) and Se at (0.0251, 0.3557, 0.5627).

---

No. 2
Here is a geometry-optimized NdDy4TmSe8 structure from Alexandria. Energies are from PBE.

The energy relative to the elements, uncorrected is -1708 meV/atom. As for the mass density: 6.2 g/cm3.

The space group is R3m (No. 160, hexagonal axes) and the conventional cell measures 8.4559, 8.4559 and 20.6383 Å, with angles of 90.00, 90.00 and 120.00 degrees. The distinct sites, in fractional coordinates, are Nd at (0.0000, 0.0000, 0.0000), Dy at (0.0000, 0.0000, 0.7515), Dy at (0.1677, 0.3355, 0.2088), Tm at (0.0000, 0.0000, 0.3762), Se at (0.0000, 0.0000, 0.1360), Se at (0.0000, 0.0000, 0.6193), Se at (0.0220, 0.5110, 0.1267) and Se at (0.1823, 0.3646, 0.9565).

---

No. 3
Here is a geometry-optimized NdDy2Tm3Se6 structure from Alexandria. Energies are from PBE.

The energy relative to the elements, uncorrected is -1720 meV/atom. As for the mass density: 8.4 g/cm3.

The space group is C2/m (No. 12) and the conventional cell measures 17.8061, 4.0422 and 8.2179 Å, with angles of 90.00, 104.25 and 90.00 degrees. The distinct sites, in fractional coordinates, are Nd at (0.0000, 0.0000, 0.0000), Dy at (0.1646, 0.5000, 0.3292), Tm at (0.0000, 0.0000, 0.5000), Tm at (0.1633, 0.5000, 0.8334), Se at (0.0006, 0.5000, 0.7367), Se at (0.1664, 0.0000, 0.5865) and Se at (0.1727, 0.0000, 0.0819).

---

No. 4
Here is a geometry-optimized Nd2DyY3Se6 structure from Alexandria. Energies are from PBE.

The energy relative to the elements, uncorrected is -1787 meV/atom. As for the mass density: 6.6 g/cm3.

The space group is C2/m (No. 12) and the conventional cell measures 18.0255, 4.1104 and 8.3226 Å, with angles of 90.00, 103.62 and 90.00 degrees. The distinct sites, in fractional coordinates, are Nd at (0.1684, 0.0000, 0.3364), Dy at (0.0000, 0.5000, 0.0000), Y at (0.0000, 0.5000, 0.5000), Y at (0.1701, 0.0000, 0.8334), Se at (0.0036, 0.0000, 0.7531), Se at (0.1627, 0.5000, 0.5907) and Se at (0.1646, 0.5000, 0.0736).

---

No. 5
Here is a geometry-optimized Nd3Dy2YSe6 structure from Alexandria. Energies are from PBE.

The energy relative to the elements, uncorrected is -1803 meV/atom. As for the mass density: 7.2 g/cm3.

The space group is C2/m (No. 12) and the conventional cell measures 7.1217, 12.4075 and 7.2893 Å, with angles of 90.00, 109.14 and 90.00 degrees. The distinct sites, in fractional coordinates, are Nd at (0.0000, 0.0000, 0.0000), Nd at (0.0000, 0.3338, 0.0000), Dy at (0.0000, 0.1665, 0.5000), Y at (0.0000, 0.5000, 0.5000), Se at (0.2445, 0.0000, 0.7358) and Se at (0.2456, 0.3329, 0.7360).

---

No. 6
Here is a geometry-optimized Nd3DyY2Se6 structure from Alexandria. Energies are from PBE.

The energy relative to the elements, uncorrected is -1805 meV/atom. As for the mass density: 6.8 g/cm3.

The space group is C2/m (No. 12) and the conventional cell measures 7.1289, 12.4187 and 7.2857 Å, with angles of 90.00, 109.17 and 90.00 degrees. The distinct sites, in fractional coordinates, are Nd at (0.0000, 0.0000, 0.0000), Nd at (0.0000, 0.3327, 0.0000), Dy at (0.0000, 0.5000, 0.5000), Y at (0.0000, 0.1667, 0.5000), Se at (0.2449, 0.3338, 0.7362) and Se at (0.2463, 0.0000, 0.7368).

---

No. 7
Here is a geometry-optimized NdDyY2Se6 structure from Alexandria. Energies are from PBE.

The energy relative to the elements, uncorrected is -1854 meV/atom. As for the mass density: 5.3 g/cm3.

The space group is R3 (No. 146, hexagonal axes) and the conventional cell measures 7.2829, 7.2829 and 19.5400 Å, with angles of 90.00, 90.00 and 120.00 degrees. The distinct sites, in fractional coordinates, are Nd at (0.0000, 0.0000, 0.0000), Dy at (0.0000, 0.0000, 0.5044), Y at (0.0000, 0.0000, 0.1989), Y at (0.0000, 0.0000, 0.7018), Se at (0.0269, 0.3583, 0.7705) and Se at (0.0426, 0.6825, 0.2698).

---

No. 8
Here is a geometry-optimized Nd2DyYSe4 structure from Alexandria. Energies are from PBE.

The energy relative to the elements, uncorrected is -1801 meV/atom. As for the mass density: 7.0 g/cm3.

The space group is P2/m (No. 10) and the conventional cell measures 7.1365, 4.0916 and 7.3413 Å, with angles of 90.00, 108.70 and 90.00 degrees. The distinct sites, in fractional coordinates, are Nd at (0.0000, 0.0000, 0.0000), Nd at (0.5000, 0.5000, 0.0000), Dy at (0.0000, 0.5000, 0.5000), Y at (0.5000, 0.0000, 0.5000), Se at (0.2445, 0.0000, 0.7356) and Se at (0.2543, 0.5000, 0.2640).

---

No. 9
Here is a geometry-optimized Nd2DySi6 structure from Alexandria. Energies are from PBE.

The energy relative to the elements, uncorrected is -556 meV/atom. As for the mass density: 5.7 g/cm3.

The space group is P6/mmm (No. 191) and the conventional cell measures 7.1479, 7.1479 and 4.0899 Å, with angles of 90.00, 90.00 and 120.00 degrees. The distinct sites, in fractional coordinates, are Nd at (0.3333, 0.6667, 0.0000), Dy at (0.0000, 0.0000, 0.0000) and Si at (0.0000, 0.3309, 0.5000).

---

No. 10
Here is a geometry-optimized Nd2Dy3Si4 structure from Alexandria. Energies are from PBE.

The energy relative to the elements, uncorrected is -757 meV/atom. As for the mass density: 6.8 g/cm3.

The space group is P2_1/c (No. 14) and the conventional cell measures 7.7445, 7.7978 and 7.5138 Å, with angles of 90.00, 106.71 and 90.00 degrees. The distinct sites, in fractional coordinates, are Nd at (0.1989, 0.1784, 0.0848), Dy at (0.2446, 0.6808, 0.2534), Dy at (0.5000, 0.0000, 0.5000), Si at (0.0792, 0.5306, 0.8790) and Si at (0.4934, 0.1182, 0.8770).

---

No. 11
Here is a geometry-optimized NdDySi4 structure from Alexandria. Energies are from PBE.

The energy relative to the elements, uncorrected is -451 meV/atom. As for the mass density: 5.5 g/cm3.

The space group is Pbam (No. 55) and the conventional cell measures 8.2769, 14.6891 and 4.1309 Å, with angles of 90.00, 90.00 and 90.00 degrees. The distinct sites, in fractional coordinates, are Nd at (0.1162, 0.1372, 0.0000), Dy at (0.1406, 0.4121, 0.0000), Si at (0.0258, 0.2934, 0.5000), Si at (0.1216, 0.5589, 0.5000), Si at (0.1263, 0.9643, 0.5000) and Si at (0.1896, 0.8046, 0.5000).

---

No. 12
Here is a geometry-optimized NdDy4Si4 structure from Alexandria. Energies are from PBE.

The energy relative to the elements, uncorrected is -473 meV/atom. As for the mass density: 6.2 g/cm3.

The space group is P4_2/n (No. 86, origin choice 2) and the conventional cell measures 9.1900, 9.1900 and 5.7367 Å, with angles of 90.00, 90.00 and 90.00 degrees. The distinct sites, in fractional coordinates, are Nd at (0.2500, 0.2500, 0.2500), Dy at (0.0936, 0.6462, 0.1280) and Si at (0.0376, 0.5997, 0.6305).

---

Computed D(E_F) (states/eV/atom) in order:
0.000 0.629 0.443 0.477 0.483 0.489 0.000 0.537 0.708 0.951 0.350 0.879